[1]
Here is a relaxed structure of NdIrNO from OQMD via LeMat-Bulk. Energies are from PBE.

Cell: 4.3464 4.7944 6.6667 Å, 90.00 90.00 90.00°
Fractional coordinates of all 8 atoms:
O: 0.5000 0.9605 0.8668
N: 0.0000 0.8404 0.3146
O: 0.5000 0.4605 0.1332
Nd: 0.5000 0.9839 0.2054
Nd: 0.5000 0.4839 0.7946
Ir: 0.0000 0.4692 0.4165
N: 0.0000 0.3404 0.6854
Ir: 0.0000 0.9692 0.5835

## Properties
Crystal system   orthorhombic
Energy   -7.710 eV/atom

---

[2]
Here is a relaxed structure of NdIrNO from OQMD via LeMat-Bulk. Energies are from PBE.

Cell: 4.0108 4.0108 7.5544 Å, 90.00 90.00 89.98°
Fractional coordinates of all 8 atoms:
N: 0.7500 0.7500 0.4081
Nd: 0.7500 0.7500 0.8438
Ir: 0.2500 0.7500 0.5000
N: 0.2500 0.2500 0.5919
O: 0.2500 0.7500 0.0000
O: 0.7500 0.2500 0.0000
Ir: 0.7500 0.2500 0.5000
Nd: 0.2500 0.2500 0.1562

## Properties
Crystal system   tetragonal
Energy   -7.852 eV/atom

---

[3]
Here is a relaxed structure of Nd2IrOsN2O2 from OQMD via LeMat-Bulk. Energies are from PBE.

Cell: 3.8930 3.8930 7.8386 Å, 90.00 90.00 90.00°
Fractional coordinates of all 8 atoms:
Ir: 0.0000 0.0000 0.0000
Os: 0.5000 0.5000 0.0000
Nd: 0.0000 0.5000 0.6570
O: 0.0000 0.0000 0.5000
O: 0.5000 0.5000 0.5000
N: 0.5000 0.0000 0.8859
N: 0.0000 0.5000 0.1141
Nd: 0.5000 0.0000 0.3430

## Properties
Crystal system   tetragonal
Energy   -8.163 eV/atom

---

[4]
Here is a relaxed structure of PrNdP2Ir2N2 from OQMD via LeMat-Bulk. Energies are from PBE.

Cell: 4.0330 4.0330 8.7388 Å, 90.00 90.00 90.00°
Site moments in Bohr magnetons follow the coordinates.
Fractional coordinates of all 8 atoms:
Pr: 0.5000 0.5000 0.8644  0.01
Nd: 0.0000 0.0000 0.1357  0.01
Ir: 0.0000 0.5000 0.4990  0.00
P: 0.0000 0.0000 0.6447  0.00
Ir: 0.5000 0.0000 0.4990  0.00
P: 0.5000 0.5000 0.3533  0.00
N: 0.0000 0.5000 0.0020  0.30
N: 0.5000 0.0000 0.0020  0.30

## Properties
Crystal system   tetragonal
Energy   -7.605 eV/atom

---

[5]
Here is a relaxed structure of Ir2N3O from OQMD via LeMat-Bulk. Energies are from PBE.

Cell: 3.1206 4.5502 4.5502 Å, 89.34 90.00 90.00°
Fractional coordinates of all 6 atoms:
N: 0.5000 0.1951 0.8040
Ir: 0.5000 0.5102 0.5102
O: 0.0000 0.3068 0.3068
Ir: 0.0000 0.9905 0.9905
N: 0.0000 0.6934 0.6934
N: 0.5000 0.8040 0.1951

## Properties
Crystal system   orthorhombic
Energy   -7.569 eV/atom

---

[6]
Here is a relaxed structure of Pr2IrOsN2O2 from OQMD via LeMat-Bulk. Energies are from PBE.

Cell: 3.9041 3.9041 7.9486 Å, 90.00 90.00 90.00°
Fractional coordinates of all 8 atoms:
Ir: 0.0000 0.0000 0.0000
O: 0.0000 0.0000 0.5000
Pr: 0.0000 0.5000 0.6578
Pr: 0.5000 0.0000 0.3422
N: 0.0000 0.5000 0.1104
N: 0.5000 0.0000 0.8896
O: 0.5000 0.5000 0.5000
Os: 0.5000 0.5000 0.0000

## Properties
Crystal system   tetragonal
Energy   -8.141 eV/atom